No. 1
VASP calculation (PBE-GGA) on BaHfTe4 after structural relaxation.

Unit cell a=8.0253 b=6.6219 c=8.5917 alpha=112.67 beta=92.52 gamma=90.00
Element x y z (fractional)
Ba 0.2199 0.2003 0.4007
Ba 0.7801 0.7997 0.5993
Hf 0.7029 0.4757 0.9513
Hf 0.2971 0.5243 0.0487
Te 0.8467 0.3084 0.6168
Te 0.5732 0.3655 0.2237
Te 0.0000 0.2367 0.0000
Te 0.4268 0.1418 0.7763
Te 0.1533 0.6916 0.3832
Te 0.4268 0.6345 0.7763
Te 0.0000 0.7633 0.0000
Te 0.5732 0.8582 0.2237

## Properties
The calculation puts the raw formation energy at -0.832 eV/atom. The calculation puts the density of states at the Fermi level at 6.430 states/eV/cell.



No. 2
VASP calculation (PBE-GGA) on Ca2GeH6Ir after structural relaxation.

Unit cell a=4.7881 b=4.7881 c=12.8680 alpha=79.28 beta=79.28 gamma=60.00
Site moments in Bohr magnetons follow the coordinates.
Element x y z (fractional)
Ca 0.8733 0.8733 0.3800  0.02
Ca 0.1267 0.1267 0.6200  0.02
Ca 0.7045 0.7045 0.8865  0.01
Ca 0.2955 0.2955 0.1135  0.01
Ge 0.5786 0.5786 0.2642  0.10
Ge 0.4214 0.4214 0.7358  0.10
H 0.8673 0.3521 0.4286  0.00
H 0.3521 0.8673 0.4286  0.00
H 0.3521 0.3521 0.4286  0.00
H 0.1327 0.6479 0.5714  0.00
H 0.6479 0.1327 0.5714  0.00
H 0.6479 0.6479 0.5714  0.00
H 0.6969 0.1907 0.9217  0.00
H 0.1907 0.6969 0.9217  0.00
H 0.1907 0.1907 0.9217  0.00
H 0.3031 0.8093 0.0783  0.00
H 0.8093 0.3031 0.0783  0.00
H 0.8093 0.8093 0.0783  0.00
Ir 0.0000 0.0000 0.0000  0.01
Ir 0.5000 0.5000 0.5000  0.01

## Properties
Its total DFT energy (no corrections) is -4.14 eV per atom. The calculation puts the density of states at the Fermi level at 7.190 states/eV/cell.



No. 3
VASP calculation (PBE-GGA) on KZn2Os after structural relaxation.

Unit cell a=6.1444 b=6.1444 c=6.1444 alpha=154.89 beta=130.17 gamma=56.59
Element x y z (fractional)
K 0.4938 0.4938 0.0000
Os 0.2138 0.7138 0.5000
Zn 0.0119 0.0119 0.0000
Zn 0.7806 0.2806 0.5000

## Properties
For the energy above the most stable polymorph in this dataset, the calculation gives 236.4 meV per atom. The calculation puts the density of states at the Fermi level at 2.266 states/eV/cell. The value obtained for the formation energy is 62.7 kJ per mole of atoms.



No. 4
VASP calculation (PBE-GGA) on BeHg2As after structural relaxation.

Unit cell a=2.9985 b=2.9985 c=8.4997 alpha=90.00 beta=90.00 gamma=90.00
Element x y z (fractional)
Be 0.5000 0.5000 0.7500
As 0.5000 0.5000 0.2500
Hg 0.0000 0.0000 0.9490
Hg 0.0000 0.0000 0.5510

## Properties
For the energy above the most stable polymorph in this dataset, the calculation gives 434.1 meV per atom. The calculation puts the density of states at the Fermi level at 1.866 states/eV/cell. The value obtained for the formation energy is 47.6 kJ per mole of atoms.